VASP calculation (PBE-GGA) on InH3Ir after structural relaxation.

## Properties
Total energy, eV per atom: -4.118
Calculated volume, A^3/atom: 9.91

abc: 3.673 3.673 3.673
angles: 90.00 90.00 90.00
Element x y z (fractional)
H 0.000 0.500 0.000
H 0.500 0.000 0.000
H 0.000 0.000 0.500
Ir 0.000 0.000 0.000
In 0.500 0.500 0.500